VASP calculation (PBE) on a relaxed structure of PrMgSnH.

Calculated values
* spin magnetization: 0.000 μB/atom
* calculated density: 5.71 Mg/m³
* space-group type: P4/nmm
* crystal system: tetragonal

```
data_PrMgSnH
_cell_length_a 4.4470
_cell_length_b 4.4470
_cell_length_c 8.3781
_cell_angle_alpha 90.00
_cell_angle_beta 90.00
_cell_angle_gamma 90.00
_space_group_name_H-M_alt 'P 1'
_space_group_IT_number 1
loop_
_space_group_symop_operation_xyz
'x,y,z'
loop_
_atom_site_label
_atom_site_fract_x
_atom_site_fract_y
_atom_site_fract_z
H1 0.5000 0.5000 0.0000
H2 0.0000 0.0000 0.0000
Sn1 0.0000 0.5000 0.2753
Sn2 0.5000 0.0000 0.7247
Pr1 0.0000 0.5000 0.8694
Pr2 0.5000 0.0000 0.1306
Mg1 0.0000 0.0000 0.5000
Mg2 0.5000 0.5000 0.5000
```

VASP calculation (PBE) on a relaxed structure of Ag3Sb4.

Calculated values
* spin magnetization: 0.000 μB/atom
* excess energy over the best structure of this formula in the dataset: 0.000 eV/atom
* calculated density: 7.75 Mg/m³
* space-group type: I4/mmm
* crystal system: tetragonal
* E_form (uncorrected): 0.191 eV per atom

```
data_Ag3Sb4
_cell_length_a 10.8176
_cell_length_b 10.8176
_cell_length_c 10.8176
_cell_angle_alpha 158.25
_cell_angle_beta 158.25
_cell_angle_gamma 30.95
_space_group_name_H-M_alt 'P 1'
_space_group_IT_number 1
loop_
_space_group_symop_operation_xyz
'x,y,z'
loop_
_atom_site_label
_atom_site_fract_x
_atom_site_fract_y
_atom_site_fract_z
Sb1 0.4158 0.4158 0.0000
Sb2 0.8573 0.8573 0.0000
Sb3 0.5842 0.5842 0.0000
Sb4 0.1427 0.1427 0.0000
Ag1 0.7219 0.7219 0.0000
Ag2 0.0000 0.0000 0.0000
Ag3 0.2781 0.2781 0.0000
```

VASP calculation (PBE) on a relaxed structure of K6I3Br2Cl.

Calculated values
* spin magnetization: 0.000 μB/atom
* calculated density: 2.75 Mg/m³
* space-group type: C2/m
* crystal system: monoclinic
* E_form (uncorrected): -1.641 eV per atom

```
data_K6I3Br2Cl
_cell_length_a 8.4050
_cell_length_b 8.4050
_cell_length_c 8.4715
_cell_angle_alpha 99.53
_cell_angle_beta 99.53
_cell_angle_gamma 119.99
_space_group_name_H-M_alt 'P 1'
_space_group_IT_number 1
loop_
_space_group_symop_operation_xyz
'x,y,z'
loop_
_atom_site_label
_atom_site_fract_x
_atom_site_fract_y
_atom_site_fract_z
K1 0.0763 0.4018 0.2288
K2 0.9237 0.5982 0.7712
K3 0.5982 0.9237 0.7712
K4 0.7513 0.7513 0.2305
K5 0.4018 0.0763 0.2288
K6 0.2487 0.2487 0.7695
Cl1 0.0000 0.0000 0.0000
I1 0.5000 0.5000 0.5000
I2 0.1688 0.8312 0.5000
I3 0.8312 0.1688 0.5000
Br1 0.6663 0.3337 0.0000
Br2 0.3337 0.6663 0.0000
```

VASP calculation (PBE) on a relaxed structure of Sc3HgRh.

Calculated values
* DFT formation energy: 640 meV per atom
* spin magnetization: 0.000 μB/atom
* excess energy over the best structure of this formula in the dataset: 0.901 eV/atom
* calculated density: 5.30 Mg/m³
* space-group type: Pm-3m
* crystal system: cubic

```
data_Sc3HgRh
_cell_length_a 5.1581
_cell_length_b 5.1581
_cell_length_c 5.1581
_cell_angle_alpha 90.00
_cell_angle_beta 90.00
_cell_angle_gamma 90.00
_space_group_name_H-M_alt 'P 1'
_space_group_IT_number 1
loop_
_space_group_symop_operation_xyz
'x,y,z'
loop_
_atom_site_label
_atom_site_fract_x
_atom_site_fract_y
_atom_site_fract_z
Rh1 0.5000 0.5000 0.5000
Sc1 0.5000 0.0000 0.0000
Sc2 0.0000 0.0000 0.5000
Sc3 0.0000 0.5000 0.0000
Hg1 0.0000 0.0000 0.0000
```

VASP calculation (PBE) on a relaxed structure of PmTlCd2.

Calculated values
* DFT formation energy: -227 meV per atom
* spin magnetization: 0.000 μB/atom
* calculated density: 9.10 Mg/m³
* space-group type: I4/mmm
* crystal system: tetragonal

```
data_PmTlCd2
_cell_length_a 4.7450
_cell_length_b 4.7458
_cell_length_c 5.7384
_cell_angle_alpha 114.46
_cell_angle_beta 114.42
_cell_angle_gamma 90.00
_space_group_name_H-M_alt 'P 1'
_space_group_IT_number 1
loop_
_space_group_symop_operation_xyz
'x,y,z'
loop_
_atom_site_label
_atom_site_fract_x
_atom_site_fract_y
_atom_site_fract_z
Tl1 0.0000 0.5000 0.0000
Cd1 0.2500 0.2505 0.5001
Cd2 0.7500 0.7495 0.4999
Pm1 0.5000 0.0000 0.0000
```

VASP calculation (PBE) on a relaxed structure of Hf2ThPt.

Calculated values
* DFT formation energy: -240 meV per atom
* spin magnetization: 0.000 μB/atom
* excess energy over the best structure of this formula in the dataset: 0.231 eV/atom
* calculated density: 13.69 Mg/m³
* space-group type: R-3m
* crystal system: trigonal

```
data_Hf2ThPt
_cell_length_a 3.4378
_cell_length_b 3.4378
_cell_length_c 9.5016
_cell_angle_alpha 79.58
_cell_angle_beta 79.58
_cell_angle_gamma 60.00
_space_group_name_H-M_alt 'P 1'
_space_group_IT_number 1
loop_
_space_group_symop_operation_xyz
'x,y,z'
loop_
_atom_site_label
_atom_site_fract_x
_atom_site_fract_y
_atom_site_fract_z
Th1 0.5000 0.5000 0.5000
Hf1 0.7345 0.7345 0.7966
Hf2 0.2655 0.2655 0.2034
Pt1 0.0000 0.0000 0.0000
```

VASP calculation (PBE) on a relaxed structure of LiSiHRh2.

Calculated values
* spin magnetization: 0.000 μB/atom
* excess energy over the best structure of this formula in the dataset: 0.373 eV/atom
* calculated density: 7.40 Mg/m³
* space-group type: P4/mmm
* crystal system: tetragonal

```
data_LiSiHRh2
_cell_length_a 3.9820
_cell_length_b 3.9820
_cell_length_c 3.4214
_cell_angle_alpha 90.00
_cell_angle_beta 90.00
_cell_angle_gamma 90.00
_space_group_name_H-M_alt 'P 1'
_space_group_IT_number 1
loop_
_space_group_symop_operation_xyz
'x,y,z'
loop_
_atom_site_label
_atom_site_fract_x
_atom_site_fract_y
_atom_site_fract_z
Li1 0.5000 0.5000 0.5000
Rh1 0.0000 0.5000 0.0000
Rh2 0.5000 0.0000 0.0000
Si1 0.0000 0.0000 0.5000
H1 0.0000 0.0000 0.0000
```

VASP calculation (PBE) on a relaxed structure of Ba2PuZn2O6.

Calculated values
* spin magnetization: 0.364 μB/atom
* calculated density: 6.53 Mg/m³
* space-group type: R-3m
* crystal system: trigonal
* E_form (uncorrected): -2.231 eV per atom

```
data_Ba2PuZn2O6
_cell_length_a 6.1588
_cell_length_b 6.1588
_cell_length_c 6.7747
_cell_angle_alpha 62.96
_cell_angle_beta 62.96
_cell_angle_gamma 60.00
_space_group_name_H-M_alt 'P 1'
_space_group_IT_number 1
loop_
_space_group_symop_operation_xyz
'x,y,z'
loop_
_atom_site_label
_atom_site_fract_x
_atom_site_fract_y
_atom_site_fract_z
O1 0.7715 0.2417 0.7452
O2 0.2417 0.2417 0.7452
O3 0.7583 0.2285 0.2548
O4 0.2417 0.7715 0.7452
O5 0.7583 0.7583 0.2548
O6 0.2285 0.7583 0.2548
Ba1 0.7876 0.7876 0.6371
Ba2 0.2124 0.2124 0.3629
Pu1 0.0000 0.0000 0.0000
Zn1 0.5803 0.5803 0.2591
Zn2 0.4197 0.4197 0.7409
```

VASP calculation (PBE) on a relaxed structure of Sr2MgZn12Cu3.

Calculated values
* DFT formation energy: 218 meV per atom
* spin magnetization: 0.000 μB/atom
* calculated density: 4.76 Mg/m³
* space-group type: R-3m
* crystal system: trigonal

```
data_Sr2MgZn12Cu3
_cell_length_a 7.9679
_cell_length_b 7.9679
_cell_length_c 7.9679
_cell_angle_alpha 66.82
_cell_angle_beta 66.82
_cell_angle_gamma 66.82
_space_group_name_H-M_alt 'P 1'
_space_group_IT_number 1
loop_
_space_group_symop_operation_xyz
'x,y,z'
loop_
_atom_site_label
_atom_site_fract_x
_atom_site_fract_y
_atom_site_fract_z
Cu1 0.5000 0.0000 0.0000
Cu2 0.0000 0.0000 0.5000
Cu3 0.0000 0.5000 0.0000
Zn1 0.1471 0.6892 0.6892
Zn2 0.6892 0.1471 0.6892
Zn3 0.8529 0.3108 0.3108
Zn4 0.8725 0.8725 0.3683
Zn5 0.3108 0.8529 0.3108
Zn6 0.1275 0.1275 0.6317
Zn7 0.6892 0.6892 0.1471
Zn8 0.6317 0.1275 0.1275
Zn9 0.3683 0.8725 0.8725
Zn10 0.8725 0.3683 0.8725
Zn11 0.3108 0.3108 0.8529
Zn12 0.1275 0.6317 0.1275
Mg1 0.0000 0.0000 0.0000
Sr1 0.6066 0.6066 0.6066
Sr2 0.3934 0.3934 0.3934
```

VASP calculation (PBE) on a relaxed structure of Mg7GaHg12.

Calculated values
* DFT formation energy: -99 meV per atom
* spin magnetization: 0.000 μB/atom
* calculated density: 9.00 Mg/m³
* space-group type: R-3
* crystal system: trigonal

```
data_Mg7GaHg12
_cell_length_a 5.8524
_cell_length_b 10.0083
_cell_length_c 10.0083
_cell_angle_alpha 116.30
_cell_angle_beta 101.24
_cell_angle_gamma 101.24
_space_group_name_H-M_alt 'P 1'
_space_group_IT_number 1
loop_
_space_group_symop_operation_xyz
'x,y,z'
loop_
_atom_site_label
_atom_site_fract_x
_atom_site_fract_y
_atom_site_fract_z
Mg1 0.9596 0.0678 0.3040
Mg2 0.5000 0.0000 0.0000
Mg3 0.8917 0.2362 0.9322
Mg4 0.0404 0.9322 0.6960
Mg5 0.6555 0.6960 0.7638
Mg6 0.3445 0.3040 0.2362
Mg7 0.1083 0.7638 0.0678
Hg1 0.6889 0.6209 0.4457
Hg2 0.9321 0.1752 0.6209
Hg3 0.2431 0.5543 0.1752
Hg4 0.3111 0.3791 0.5543
Hg5 0.1363 0.6578 0.7370
Hg6 0.8637 0.3422 0.2630
Hg7 0.3993 0.2630 0.9208
Hg8 0.7569 0.4457 0.8248
Hg9 0.0679 0.8248 0.3791
Hg10 0.4785 0.0792 0.3422
Hg11 0.6007 0.7370 0.0792
Hg12 0.5215 0.9208 0.6578
Ga1 0.0000 0.0000 0.0000
```

VASP calculation (PBE) on a relaxed structure of HfReOF2.

Calculated values
* spin magnetization: 0.001 μB/atom
* excess energy over the best structure of this formula in the dataset: 0.731 eV/atom
* calculated density: 9.36 Mg/m³
* space-group type: P4/mmm
* crystal system: tetragonal
* E_form (uncorrected): -0.425 eV per atom

```
data_HfReOF2
_cell_length_a 4.4722
_cell_length_b 4.4722
_cell_length_c 3.7150
_cell_angle_alpha 90.00
_cell_angle_beta 90.00
_cell_angle_gamma 90.00
_space_group_name_H-M_alt 'P 1'
_space_group_IT_number 1
loop_
_space_group_symop_operation_xyz
'x,y,z'
loop_
_atom_site_label
_atom_site_fract_x
_atom_site_fract_y
_atom_site_fract_z
O1 0.0000 0.0000 0.5000
F1 0.0000 0.5000 0.0000
F2 0.5000 0.0000 0.0000
Hf1 0.5000 0.5000 0.5000
Re1 0.0000 0.0000 0.0000
```

VASP calculation (PBE) on a relaxed structure of CaDyY.

Calculated values
* DFT formation energy: 68 meV per atom
* spin magnetization: 0.000 μB/atom
* excess energy over the best structure of this formula in the dataset: 0.000 eV/atom
* calculated density: 4.67 Mg/m³
* space-group type: I4mm
* crystal system: tetragonal

```
data_CaDyY
_cell_length_a 3.6433
_cell_length_b 3.6433
_cell_length_c 8.2148
_cell_angle_alpha 102.81
_cell_angle_beta 102.81
_cell_angle_gamma 90.00
_space_group_name_H-M_alt 'P 1'
_space_group_IT_number 1
loop_
_space_group_symop_operation_xyz
'x,y,z'
loop_
_atom_site_label
_atom_site_fract_x
_atom_site_fract_y
_atom_site_fract_z
Ca1 0.9995 0.9995 0.9990
Dy1 0.3240 0.3240 0.6480
Y1 0.6765 0.6765 0.3530
```

| no. | uncorrected energy (eV per atom) |
| --- | --- |
| 1 | -4.00 |
| 2 | -3.39 |
| 3 | -3.01 |
| 4 | -4.69 |
| 5 | -2.46 |
| 6 | -8.58 |
| 7 | -5.27 |
| 8 | -6.82 |
| 9 | -1.59 |
| 10 | -0.99 |
| 11 | -6.64 |
| 12 | -4.29 |